DFT (PBE-GGA) results for crystalline Dy5CO5 at its relaxed geometry.

Computed properties:
Calculated density, g cm⁻³: 8.8
Raw total energy, eV per atom: -7.89
Formation energy (no corrections), eV/atom: -2.703
SG: C2/m, No. 12

Cell: 4.7761 5.9701 6.8635 Å, 107.15 90.00 113.58°
With the nearest neighbours (Å) after each atom.
Fractional coordinates of all 11 atoms:
O 0.6792 0.3584 0.3248  5 Dy 2.33-2.45
Dy 0.8354 0.6707 0.6663  5 O 2.40-2.44, 1 C 2.42
Dy 0.5000 0.0000 0.0000  2 C 2.39, 4 O 2.45-2.48
O 0.0000 0.0000 0.5000  4 Dy 2.31-2.42
C 0.0000 0.0000 0.0000  6 Dy 2.39-2.42
O 0.3200 0.6400 0.1458  5 Dy 2.37-2.48
Dy 0.8446 0.6893 0.1794  5 O 2.31-2.41, 1 C 2.40
O 0.6800 0.3600 0.8542  5 Dy 2.37-2.48
O 0.3208 0.6416 0.6752  5 Dy 2.33-2.45
Dy 0.1646 0.3293 0.3337  5 O 2.40-2.44, 1 C 2.42
Dy 0.1554 0.3107 0.8206  5 O 2.31-2.41, 1 C 2.40

***

DFT (PBE-GGA) results for crystalline Dy3CO at its relaxed geometry.

Computed properties:
Calculated density, g cm⁻³: 7.3
Raw total energy, eV per atom: -6.77
Formation energy (no corrections), eV/atom: -1.169
SG: C2/c, No. 15

Cell: 6.2204 9.1655 9.1655 Å, 80.32 108.20 108.20°
With the nearest neighbours (Å) after each atom.
Fractional coordinates of all 20 atoms:
C 0.2500 0.7519 0.2481  4 Dy 2.37-2.42
C 0.7500 0.2481 0.7519  4 Dy 2.37-2.42
Dy 0.0957 0.9724 0.2028  2 C 2.29-2.42
Dy 0.0467 0.6927 0.4809  3 O 2.22-2.32
O 0.3194 0.3460 0.4815  4 Dy 2.22-2.32
Dy 0.1310 0.3957 0.8789  1 O 2.24, 2 C 2.37-2.39
Dy 0.9533 0.3073 0.5191  3 O 2.22-2.32
Dy 0.8690 0.6043 0.1211  1 O 2.24, 2 C 2.37-2.39
Dy 0.5957 0.2028 0.9724  2 C 2.29-2.42
O 0.6806 0.6540 0.5185  4 Dy 2.22-2.32
Dy 0.6310 0.8789 0.3957  1 O 2.24, 2 C 2.37-2.39
O 0.8194 0.4815 0.3460  4 Dy 2.22-2.32
Dy 0.5467 0.4809 0.6927  3 O 2.22-2.32
Dy 0.3690 0.1211 0.6043  1 O 2.24, 2 C 2.37-2.39
C 0.7500 0.7894 0.2106  4 Dy 2.29-2.39
Dy 0.9043 0.0276 0.7972  2 C 2.29-2.42
C 0.2500 0.2106 0.7894  4 Dy 2.29-2.39
Dy 0.4533 0.5191 0.3073  3 O 2.22-2.32
Dy 0.4043 0.7972 0.0276  2 C 2.29-2.42
O 0.1806 0.5185 0.6540  4 Dy 2.22-2.32

***

What is the formula in the first record?
Dy5CO5

***

What is the calculated density in the second record?
7.3 g cm⁻³

***

The highest formation energy (no corrections) belongs to which entry?
Dy3CO